! CsOsNO2 (SCAN, PBEsol geometry); values from VASP
! Space-group type ... P4/mmm
! ΔE_f (raw) ... -443 meV/atom
! Total magnetic moment ... 0.00 Bohr magnetons per cell
&SYSTEM
  ibrav = 0, nat = 5, ntyp = 4
/
ATOMIC_SPECIES
Cs 132.91 Cs.upf
Os 190.23 Os.upf
N 14.01 N.upf
O 16.00 O.upf
ATOMIC_POSITIONS crystal
Cs 0.000 0.000 0.000
Os 0.500 0.500 0.500
N 0.500 0.500 0.000
O 0.000 0.500 0.500
O 0.500 0.000 0.500
CELL_PARAMETERS angstrom
4.069 0.000 0.000
0.000 4.069 0.000
0.000 0.000 3.874